--- one ---
This record from Alexandria describes a geometry-optimized K2FeRe structure. The functional is PBE.

Summary:
* space-group type: Pm, No. 6

abc: 3.4266 5.8741 6.7845
angles: 64.33 90.00 90.00
Positions (direct):
Fe: 0.5000 0.5656 0.7457
K: 0.0000 0.9904 0.8960
K: 0.5000 0.2693 0.3342
Re: 0.0000 0.6746 0.5242

---

--- two ---
This record from Alexandria describes a geometry-optimized K2FeRe structure. The functional is PBE.

Summary:
* space-group type: Immm, No. 71

abc: 10.4634 10.4634 10.4634
angles: 163.14 159.87 26.37
Positions (direct):
K: 0.6052 0.6052 0.0000
K: 0.8948 0.8948 0.0000
Fe: 0.7500 0.2500 0.5000
Re: 0.2500 0.7500 0.5000

---

--- three ---
This record from Alexandria describes a geometry-optimized K2FeRe structure. The functional is PBE.

Summary:
* space-group type: I4/mmm, No. 139

abc: 6.3604 6.3604 6.3604
angles: 145.46 145.46 49.64
Positions (direct):
Fe: 0.7500 0.2500 0.5000
K: 0.0000 0.0000 0.0000
K: 0.5000 0.5000 0.0000
Re: 0.2500 0.7500 0.5000

---

--- four ---
This record from Alexandria describes a geometry-optimized K2FeRe structure. The functional is PBE.

Summary:
* space-group type: R-3m, No. 166

abc: 11.9363 11.9363 11.9363
angles: 13.70 13.70 13.70
Positions (direct):
K: 0.9991 0.9991 0.9991
K: 0.5009 0.5009 0.5009
Re: 0.2500 0.2500 0.2500
Fe: 0.7500 0.7500 0.7500

---

Quick look at relative energies in kJ/mol of atoms: one 29.4; two 0.0; three 68.5; four 50.0.